MgCr2Co2 after structural relaxation. Source: the Alexandria database, functional GGA-PBE.

Values from the calculation:
energy of formation from the pure elements = 0.281 eV/atom
total DFT energy (no corrections) = -6.73 eV/atom
symmetry = I4/mmm
N(E_F) = 1.25 states/eV per atom

```
MgCr2Co2
1.0
3.686 0.000 0.000
0.000 3.686 0.000
0.000 0.000 9.932
Mg Cr Co
2 4 4
direct
0.000 0.000 0.000
0.500 0.500 0.500
0.000 0.500 0.250
0.000 0.500 0.750
0.500 0.000 0.250
0.500 0.000 0.750
0.000 0.000 0.390
0.000 0.000 0.610
0.500 0.500 0.110
0.500 0.500 0.890
```